Record 1
An optimized crystal structure of YCdI2, computed with PBE.

a = 10.728 Å, b = 10.728 Å, c = 6.414 Å
α = 90.00°, β = 90.00°, γ = 90.00°
Space group I-42d (No. 122)
Asymmetric unit:
Y 0.000 0.000 0.000 (multiplicity 4)
Cd 0.000 0.000 0.500 (multiplicity 4)
I 0.113 0.750 0.125 (multiplicity 8)

The value obtained for the raw formation energy is -0.640 eV per atom. For the energy above the most stable polymorph in this dataset, the calculation gives 0.0 meV/atom.

Record 2
An optimized crystal structure of BaTa2Re, computed with PBE.

a = 3.208 Å, b = 4.865 Å, c = 5.268 Å
α = 90.00°, β = 90.00°, γ = 90.00°
Space group Pmmm (No. 47)
Asymmetric unit:
Ba 0.000 0.000 0.000 (multiplicity 1)
Ta 0.000 0.500 0.500 (multiplicity 1)
Ta 0.500 0.500 0.000 (multiplicity 1)
Re 0.500 0.000 0.500 (multiplicity 1)

The formation energy from the elements comes out at 1.260 eV/atom. For the energy above the most stable polymorph in this dataset, the calculation gives 757.1 meV/atom.

Record 3
An optimized crystal structure of BBr2Cl, computed with PBE.

a = 5.189 Å, b = 12.105 Å, c = 5.330 Å
α = 90.00°, β = 102.04°, γ = 90.00°
Space group P2_1/m (No. 11)
Asymmetric unit:
B 0.108 0.250 0.106 (multiplicity 2)
Br 0.251 0.113 0.252 (multiplicity 4)
Cl 0.153 0.750 0.158 (multiplicity 2)

The value obtained for the raw formation energy is -0.650 eV per atom. For the energy above the most stable polymorph in this dataset, the calculation gives 0.0 meV/atom.

Record 4
An optimized crystal structure of Tc2RuPt2, computed with PBE.

a = 8.730 Å, b = 3.873 Å, c = 6.165 Å
α = 90.00°, β = 134.83°, γ = 90.00°
Space group C2/m (No. 12)
Asymmetric unit:
Tc 0.203 0.000 0.089 (multiplicity 4)
Ru 0.000 0.000 0.500 (multiplicity 2)
Pt 0.096 0.500 0.302 (multiplicity 4)

The formation energy from the elements comes out at -0.102 eV/atom.